Entry 1:
{"formula": "CdTc2Br", "functional": "PBE-GGA", "state": "optimized geometry", "cell": [[-2.252, -2.340, 3.628], [3.048, 0.188, 2.014], [-2.040, 4.402, 1.573]], "species": ["Tc", "Tc", "Br", "Cd"], "fractional_positions": [[0.000, 0.063, 0.900], [0.000, 0.437, 0.600], [0.500, 0.250, 0.250], [0.500, 0.750, 0.750]], "e_above_lowest_polymorph_ev_per_atom": 0.565, "crystal_system": "monoclinic"}



Entry 2:
{"formula": "CdTc2Br", "functional": "PBE-GGA", "state": "optimized geometry", "cell": [[2.953, 0.000, 0.000], [0.000, 4.973, 0.000], [0.000, 0.000, 4.889]], "species": ["Tc", "Tc", "Br", "Cd"], "fractional_positions": [[0.000, 0.000, 0.000], [0.500, 0.500, 0.000], [0.500, 0.000, 0.500], [0.000, 0.500, 0.500]], "e_above_lowest_polymorph_ev_per_atom": 0.778, "crystal_system": "orthorhombic"}



Entry 3:
{"formula": "Cd3TcBr", "functional": "PBE-GGA", "state": "optimized geometry", "cell": [[-0.558, 4.423, 3.118], [2.504, -2.567, 4.091], [4.798, 1.855, -1.772]], "species": ["Tc", "Br", "Cd", "Cd", "Cd"], "fractional_positions": [[0.000, 0.000, 0.000], [0.500, 0.500, 0.500], [0.000, 0.500, 0.000], [0.000, 0.000, 0.500], [0.500, 0.000, 0.000]], "e_above_lowest_polymorph_ev_per_atom": 0.000, "crystal_system": "cubic"}



Entry 4:
{"formula": "Cd3TcBr", "functional": "PBE-GGA", "state": "optimized geometry", "cell": [[-5.096, 2.030, -0.333], [-0.742, -2.644, -4.760], [-1.919, -4.369, 2.726]], "species": ["Tc", "Br", "Cd", "Cd", "Cd"], "fractional_positions": [[0.500, 0.500, 0.500], [0.000, 0.000, 0.000], [0.000, 0.500, 0.000], [0.000, 0.000, 0.500], [0.500, 0.000, 0.000]], "e_above_lowest_polymorph_ev_per_atom": 0.727, "crystal_system": "cubic"}



Entry 5:
{"formula": "CdTc2Br", "functional": "PBE-GGA", "state": "optimized geometry", "cell": [[-0.778, -2.158, -1.934], [-0.702, -0.190, 2.911], [-8.033, 4.376, -1.652]], "species": ["Tc", "Tc", "Br", "Cd"], "fractional_positions": [[0.000, 0.000, 0.012], [0.000, 0.000, 0.488], [0.500, 0.500, 0.250], [0.500, 0.500, 0.750]], "e_above_lowest_polymorph_ev_per_atom": 0.739, "crystal_system": "orthorhombic"}



Entry 6:
{"formula": "CdTc2Br", "functional": "PBE-GGA", "state": "optimized geometry", "cell": [[3.057, 0.000, 0.000], [0.000, 3.092, -0.177], [0.000, 0.482, 8.282]], "species": ["Tc", "Tc", "Br", "Cd"], "fractional_positions": [[0.000, 0.000, 0.037], [0.500, 0.500, 0.205], [0.000, 0.499, 0.460], [0.500, 0.501, 0.798]], "e_above_lowest_polymorph_ev_per_atom": 0.000, "crystal_system": "monoclinic"}



Entry 7:
{"formula": "CdTc2Br", "functional": "PBE-GGA", "state": "optimized geometry", "cell": [[-0.833, -1.717, 8.804], [-0.752, -4.517, 7.758], [1.796, -3.044, 8.286]], "species": ["Tc", "Tc", "Br", "Cd"], "fractional_positions": [[0.994, 0.994, 0.994], [0.506, 0.506, 0.506], [0.250, 0.250, 0.250], [0.750, 0.750, 0.750]], "e_above_lowest_polymorph_ev_per_atom": 0.584, "crystal_system": "trigonal"}



Entry 8:
{"formula": "CdTcBr", "functional": "PBE-GGA", "state": "optimized geometry", "cell": [[-1.906, -2.496, -0.303], [1.295, 1.315, -2.559], [5.701, -4.428, 0.610]], "species": ["Tc", "Br", "Cd"], "fractional_positions": [[0.333, 0.667, 0.689], [0.000, 0.000, 0.932], [0.667, 0.333, 0.379]], "e_above_lowest_polymorph_ev_per_atom": 0.000, "crystal_system": "trigonal"}



Entry 9:
{"formula": "CdTc2Br", "functional": "PBE-GGA", "state": "optimized geometry", "cell": [[-5.530, 2.484, -2.000], [-3.684, -2.384, -4.636], [2.947, -0.752, 5.612]], "species": ["Tc", "Tc", "Br", "Cd"], "fractional_positions": [[0.906, 0.906, 0.000], [0.768, 0.268, 0.500], [0.553, 0.553, 0.000], [0.273, 0.773, 0.500]], "e_above_lowest_polymorph_ev_per_atom": 0.490, "crystal_system": "orthorhombic"}



Entry 10:
{"formula": "CdTc2Br", "functional": "PBE-GGA", "state": "optimized geometry", "cell": [[-9.467, 3.597, 0.182], [-10.075, 0.821, -0.640], [-9.769, 1.481, 2.227]], "species": ["Tc", "Tc", "Br", "Cd"], "fractional_positions": [[0.988, 0.988, 0.988], [0.255, 0.255, 0.255], [0.519, 0.519, 0.519], [0.737, 0.737, 0.737]], "e_above_lowest_polymorph_ev_per_atom": 0.161, "crystal_system": "trigonal"}



Entry 11:
{"formula": "CdTc2Br", "functional": "PBE-GGA", "state": "optimized geometry", "cell": [[4.650, 0.000, 0.000], [0.000, 3.937, 0.000], [0.000, 0.000, 3.937]], "species": ["Tc", "Tc", "Br", "Cd"], "fractional_positions": [[0.000, 0.000, 0.000], [0.000, 0.500, 0.500], [0.500, 0.500, 0.000], [0.500, 0.000, 0.500]], "e_above_lowest_polymorph_ev_per_atom": 1.002, "crystal_system": "tetragonal"}



Entry 12:
{"formula": "CdTcBr6", "functional": "PBE-GGA", "state": "optimized geometry", "cell": [[7.383, -0.770, -2.050], [-3.922, 5.229, -1.689], [0.025, 0.768, 7.069]], "species": ["Cd", "Tc", "Br", "Br", "Br", "Br", "Br", "Br"], "fractional_positions": [[0.000, 0.000, 0.000], [0.500, 0.000, 0.000], [0.878, 0.143, 0.291], [0.588, 0.853, 0.709], [0.412, 0.147, 0.291], [0.122, 0.857, 0.709], [0.274, 0.550, 0.000], [0.726, 0.450, 0.000]], "crystal_system": "monoclinic"}



Entry 13:
{"formula": "CdTc3Br", "functional": "PBE-GGA", "state": "optimized geometry", "cell": [[-0.308, 2.763, -3.643], [3.042, -2.603, -2.231], [-3.414, -2.568, -1.659]], "species": ["Tc", "Tc", "Tc", "Br", "Cd"], "fractional_positions": [[0.000, 0.500, 0.000], [0.000, 0.000, 0.500], [0.500, 0.000, 0.000], [0.000, 0.000, 0.000], [0.500, 0.500, 0.500]], "e_above_lowest_polymorph_ev_per_atom": 0.000, "crystal_system": "cubic"}



Entry 14:
{"formula": "CdTcBr", "functional": "PBE-GGA", "state": "optimized geometry", "cell": [[-3.727, 2.747, -4.942], [-4.283, -1.632, -4.986], [2.305, -0.356, 6.358]], "species": ["Tc", "Br", "Cd"], "fractional_positions": [[0.655, 0.655, 0.000], [0.042, 0.042, 0.000], [0.303, 0.303, 0.000]], "e_above_lowest_polymorph_ev_per_atom": 0.095, "crystal_system": "tetragonal"}



Entry 15:
{"formula": "CdTcBr", "functional": "PBE-GGA", "state": "optimized geometry", "cell": [[4.612, 0.000, 0.000], [-2.306, 3.994, 0.000], [0.000, 0.000, 3.232]], "species": ["Tc", "Br", "Cd"], "fractional_positions": [[0.333, 0.667, 0.833], [0.000, 0.000, 0.834], [0.667, 0.333, 0.333]], "e_above_lowest_polymorph_ev_per_atom": 0.358, "crystal_system": "hexagonal"}



Entry 16:
{"formula": "TiCdTcBr2", "functional": "PBE-GGA", "state": "optimized geometry", "cell": [[5.271, 0.000, 0.000], [0.000, 5.823, 0.000], [0.000, 0.000, 5.271]], "species": ["Ti", "Tc", "Br", "Br", "Cd"], "fractional_positions": [[0.000, 0.500, 0.000], [0.500, 0.500, 0.500], [0.000, 0.000, 0.500], [0.500, 0.000, 0.000], [0.000, 0.000, 0.000]], "crystal_system": "tetragonal"}



Entry 17:
{"formula": "ZrCdTcBr2", "functional": "PBE-GGA", "state": "optimized geometry", "cell": [[5.202, 0.000, 0.000], [0.000, 5.963, 0.000], [0.000, 0.000, 5.202]], "species": ["Br", "Br", "Tc", "Zr", "Cd"], "fractional_positions": [[0.000, 0.000, 0.500], [0.500, 0.000, 0.000], [0.500, 0.500, 0.500], [0.000, 0.500, 0.000], [0.000, 0.000, 0.000]], "crystal_system": "tetragonal"}



Entry 18:
{"formula": "CdTeBr2", "functional": "PBE-GGA", "state": "optimized geometry", "cell": [[5.563, 0.000, 0.000], [0.000, 5.563, 0.000], [0.000, 0.000, 3.512]], "species": ["Te", "Br", "Br", "Cd"], "fractional_positions": [[0.000, 0.500, 0.500], [0.000, 0.000, 0.000], [0.500, 0.500, 0.000], [0.500, 0.000, 0.500]], "e_above_lowest_polymorph_ev_per_atom": 0.542, "crystal_system": "tetragonal"}



Entry 19:
{"formula": "Cd2TeBr", "functional": "PBE-GGA", "state": "optimized geometry", "cell": [[3.504, 0.013, 0.000], [-1.099, 3.327, 0.000], [0.000, 0.000, 9.774]], "species": ["Te", "Br", "Cd", "Cd"], "fractional_positions": [[0.000, 0.000, 0.458], [0.500, 0.500, 0.813], [0.000, 0.000, 0.000], [0.500, 0.500, 0.230]], "e_above_lowest_polymorph_ev_per_atom": 0.275, "crystal_system": "orthorhombic"}



Entry 20:
{"formula": "CdTeBr2", "functional": "PBE-GGA", "state": "optimized geometry", "cell": [[6.282, 0.030, 0.049], [5.262, 3.432, 0.049], [4.008, 1.202, 5.788]], "species": ["Te", "Br", "Br", "Cd"], "fractional_positions": [[0.250, 0.250, 0.250], [0.038, 0.038, 0.962], [0.462, 0.462, 0.538], [0.750, 0.750, 0.750]], "e_above_lowest_polymorph_ev_per_atom": 0.259, "crystal_system": "orthorhombic"}



Respective formation energy from raw total energies values: 736.2 949.1 633.1 1359.8 910.3 171.3 754.9 413.0 661.3 332.2 1172.9 -491.2 1440.3 508.4 771.0 1321.7 1284.6 152.5 -114.0 -130.0 meV per atom.
Respective total DFT energy (no corrections) values: -20.4 -19.5 -11.6 -8.0 -19.7 -22.6 -20.3 -11.7 -20.7 -22.0 -18.6 -25.2 -26.5 -11.4 -10.6 -15.9 -16.8 -6.8 -7.1 -7.9 eV per cell.
Respective M_tot values: 0.00 0.20 3.08 3.98 2.02 0.00 1.72 0.00 0.28 0.00 0.76 2.95 2.06 0.00 1.95 2.33 2.84 0.00 0.00 0.00 μB per formula unit.